(1)
An optimized crystal structure of Li2OsRu. Source: Alexandria via LeMat-Bulk, functional PBE.

Crystal system: orthorhombic
Total DFT energy (no corrections) in eV per atom: -5.89
Total magnetization in μB per formula unit: 0.00
Offset from the most stable computed form in eV/atom: 0.097
Formation enthalpy at 0 K in eV per atom: 0.20

a = 2.711 Å, b = 4.423 Å, c = 9.204 Å
α = 90.00°, β = 90.00°, γ = 90.00°
Space group Immm (No. 71)
One atom of each set of equivalent atoms:
Li: 0.000 0.000 0.248 [4 per cell]
Os: 0.000 0.500 0.000 [2 per cell]
Ru: 0.000 0.500 0.500 [2 per cell]

(2)
An optimized crystal structure of LiOsRu2. Source: Alexandria via LeMat-Bulk, functional PBE.

Crystal system: orthorhombic
Total DFT energy (no corrections) in eV per atom: -7.52
Total magnetization in μB per formula unit: 0.00
Offset from the most stable computed form in eV/atom: 0.218
Formation enthalpy at 0 K in eV per atom: 0.41

a = 2.753 Å, b = 4.533 Å, c = 9.165 Å
α = 90.00°, β = 90.00°, γ = 90.00°
Space group Cmmm (No. 65)
One atom of each set of equivalent atoms:
Li: 0.000 0.000 0.000 [2 per cell]
Os: 0.000 0.000 0.500 [2 per cell]
Ru: 0.000 0.500 0.251 [4 per cell]

(3)
An optimized crystal structure of LiOs2Ru. Source: Alexandria via LeMat-Bulk, functional PBE.

Crystal system: tetragonal
Total DFT energy (no corrections) in eV per atom: -8.13
Total magnetization in μB per formula unit: 0.00
Formation enthalpy at 0 K in eV per atom: 0.28

a = 4.250 Å, b = 4.250 Å, c = 6.002 Å
α = 90.00°, β = 90.00°, γ = 90.00°
Space group I-4m2 (No. 119)
One atom of each set of equivalent atoms:
Li: 0.000 0.000 0.000 [2 per cell]
Os: 0.000 0.000 0.500 [2 per cell]
Os: 0.000 0.500 0.250 [2 per cell]
Ru: 0.000 0.500 0.750 [2 per cell]

(4)
An optimized crystal structure of LiOsRu2. Source: Alexandria via LeMat-Bulk, functional PBE.

Crystal system: orthorhombic
Total DFT energy (no corrections) in eV per atom: -7.66
Total magnetization in μB per formula unit: 0.00
Offset from the most stable computed form in eV/atom: 0.080
Formation enthalpy at 0 K in eV per atom: 0.27

a = 2.870 Å, b = 4.362 Å, c = 8.360 Å
α = 90.00°, β = 90.00°, γ = 90.00°
Space group Immm (No. 71)
One atom of each set of equivalent atoms:
Li: 0.000 0.000 0.000 [2 per cell]
Os: 0.000 0.000 0.500 [2 per cell]
Ru: 0.000 0.500 0.263 [4 per cell]

(5)
An optimized crystal structure of Li2OsRu. Source: Alexandria via LeMat-Bulk, functional PBE.

Crystal system: trigonal
Total DFT energy (no corrections) in eV per atom: -5.94
Total magnetization in μB per formula unit: 0.00
Offset from the most stable computed form in eV/atom: 0.048
Formation enthalpy at 0 K in eV per atom: 0.15

a = 2.6329 Å, b = 2.6329 Å, c = 27.5618 Å
α = 90.00°, β = 90.00°, γ = 120.00°
Space group R-3m (No. 166, hexagonal axes)
One atom of each set of equivalent atoms:
Li: 0.0000 0.0000 0.2499 [6 per cell]
Os: 0.0000 0.0000 0.0000 [3 per cell]
Ru: 0.0000 0.0000 0.5000 [3 per cell]

(6)
An optimized crystal structure of LiOsRu2. Source: Alexandria via LeMat-Bulk, functional PBE.

Crystal system: monoclinic
Total DFT energy (no corrections) in eV per atom: -7.68
Total magnetization in μB per formula unit: 0.00
Offset from the most stable computed form in eV/atom: 0.057
Formation enthalpy at 0 K in eV per atom: 0.25

a = 2.672 Å, b = 4.040 Å, c = 5.108 Å
α = 90.00°, β = 104.20°, γ = 90.00°
Space group Pm (No. 6)
One atom of each set of equivalent atoms:
Li: 0.000 0.000 0.000 [1 per cell]
Os: 0.369 0.500 0.261 [1 per cell]
Ru: 0.560 0.500 0.792 [1 per cell]
Ru: 0.957 0.000 0.499 [1 per cell]

(7)
An optimized crystal structure of Li2OsRu. Source: Alexandria via LeMat-Bulk, functional PBE.

Crystal system: monoclinic
Total DFT energy (no corrections) in eV per atom: -5.95
Total magnetization in μB per formula unit: 0.00
Offset from the most stable computed form in eV/atom: 0.030
Formation enthalpy at 0 K in eV per atom: 0.13

a = 2.647 Å, b = 4.068 Å, c = 5.376 Å
α = 90.00°, β = 103.80°, γ = 90.00°
Space group Pm (No. 6)
One atom of each set of equivalent atoms:
Li: 0.000 0.000 0.000 [1 per cell]
Li: 0.252 0.500 0.811 [1 per cell]
Os: 0.814 0.500 0.319 [1 per cell]
Ru: 0.418 0.000 0.488 [1 per cell]

(8)
An optimized crystal structure of LiOs2Ru. Source: Alexandria via LeMat-Bulk, functional PBE.

Crystal system: orthorhombic
Total DFT energy (no corrections) in eV per atom: -8.16
Total magnetization in μB per formula unit: 0.00
Formation enthalpy at 0 K in eV per atom: 0.25

a = 2.710 Å, b = 3.925 Å, c = 5.109 Å
α = 90.00°, β = 90.00°, γ = 90.00°
Space group Pmmm (No. 47)
One atom of each set of equivalent atoms:
Li: 0.000 0.000 0.000 [1 per cell]
Os: 0.500 0.500 0.236 [2 per cell]
Ru: 0.000 0.000 0.500 [1 per cell]

(9)
An optimized crystal structure of LiOsRu2. Source: Alexandria via LeMat-Bulk, functional PBE.

Crystal system: tetragonal
Total DFT energy (no corrections) in eV per atom: -7.62
Total magnetization in μB per formula unit: 0.00
Offset from the most stable computed form in eV/atom: 0.114
Formation enthalpy at 0 K in eV per atom: 0.30

a = 3.667 Å, b = 3.667 Å, c = 7.998 Å
α = 90.00°, β = 90.00°, γ = 90.00°
Space group I-4m2 (No. 119)
One atom of each set of equivalent atoms:
Li: 0.000 0.000 0.000 [2 per cell]
Os: 0.000 0.500 0.750 [2 per cell]
Ru: 0.000 0.000 0.500 [2 per cell]
Ru: 0.000 0.500 0.250 [2 per cell]

(10)
An optimized crystal structure of LiOs2Ru. Source: Alexandria via LeMat-Bulk, functional PBE.

Crystal system: trigonal
Total DFT energy (no corrections) in eV per atom: -8.21
Total magnetization in μB per formula unit: 0.00
Formation enthalpy at 0 K in eV per atom: 0.20

a = 2.7091 Å, b = 2.7091 Å, c = 26.9375 Å
α = 90.00°, β = 90.00°, γ = 120.00°
Space group R-3m (No. 166, hexagonal axes)
One atom of each set of equivalent atoms:
Li: 0.0000 0.0000 0.0000 [3 per cell]
Os: 0.0000 0.0000 0.2466 [6 per cell]
Ru: 0.0000 0.0000 0.5000 [3 per cell]

(11)
An optimized crystal structure of LiOs2Ru. Source: Alexandria via LeMat-Bulk, functional PBE.

Crystal system: tetragonal
Total DFT energy (no corrections) in eV per atom: -8.03
Total magnetization in μB per formula unit: 0.00
Formation enthalpy at 0 K in eV per atom: 0.38

a = 2.707 Å, b = 2.707 Å, c = 7.454 Å
α = 90.00°, β = 90.00°, γ = 90.00°
Space group P4/mmm (No. 123)
One atom of each set of equivalent atoms:
Li: 0.000 0.000 0.000 [1 per cell]
Os: 0.500 0.500 0.248 [2 per cell]
Ru: 0.000 0.000 0.500 [1 per cell]

(12)
An optimized crystal structure of LiOs3Ru. Source: Alexandria via LeMat-Bulk, functional PBE.

Crystal system: cubic
Total DFT energy (no corrections) in eV per atom: -6.87
Total magnetization in μB per formula unit: 0.67
Offset from the most stable computed form in eV/atom: 0.856
Formation enthalpy at 0 K in eV per atom: 2.10

a = 4.681 Å, b = 4.681 Å, c = 4.681 Å
α = 90.00°, β = 90.00°, γ = 90.00°
Space group Pm-3m (No. 221)
One atom of each set of equivalent atoms:
Li: 0.000 0.000 0.000 [1 per cell]
Os: 0.000 0.500 0.500 [3 per cell]
Ru: 0.500 0.500 0.500 [1 per cell]

(13)
An optimized crystal structure of LiOsRu4. Source: Alexandria via LeMat-Bulk, functional PBE.

Crystal system: cubic
Total DFT energy (no corrections) in eV per atom: -7.78
Total magnetization in μB per formula unit: 0.00
Formation enthalpy at 0 K in eV per atom: 0.60

a = 7.105 Å, b = 7.105 Å, c = 7.105 Å
α = 90.00°, β = 90.00°, γ = 90.00°
Space group F-43m (No. 216)
One atom of each set of equivalent atoms:
Li: 0.000 0.000 0.000 [4 per cell]
Os: 0.250 0.250 0.750 [4 per cell]
Ru: 0.125 0.125 0.375 [16 per cell]

(14)
An optimized crystal structure of LiOsRu2. Source: Alexandria via LeMat-Bulk, functional PBE.

Crystal system: tetragonal
Total DFT energy (no corrections) in eV per atom: -7.52
Total magnetization in μB per formula unit: 0.00
Offset from the most stable computed form in eV/atom: 0.216
Formation enthalpy at 0 K in eV per atom: 0.40

a = 3.888 Å, b = 3.888 Å, c = 3.581 Å
α = 90.00°, β = 90.00°, γ = 90.00°
Space group P4/mmm (No. 123)
One atom of each set of equivalent atoms:
Li: 0.000 0.000 0.000 [1 per cell]
Os: 0.500 0.500 0.000 [1 per cell]
Ru: 0.000 0.500 0.500 [2 per cell]

(15)
An optimized crystal structure of LiOsRu2. Source: Alexandria via LeMat-Bulk, functional PBE.

Crystal system: orthorhombic
Total DFT energy (no corrections) in eV per atom: -7.61
Total magnetization in μB per formula unit: 0.52
Offset from the most stable computed form in eV/atom: 0.125
Formation enthalpy at 0 K in eV per atom: 0.31

a = 5.453 Å, b = 7.549 Å, c = 2.668 Å
α = 90.00°, β = 90.00°, γ = 90.00°
Space group Cmmm (No. 65)
One atom of each set of equivalent atoms:
Li: 0.000 0.000 0.000 [2 per cell]
Os: 0.000 0.500 0.000 [2 per cell]
Ru: 0.250 0.250 0.500 [4 per cell]

(16)
An optimized crystal structure of Li2OsRu. Source: Alexandria via LeMat-Bulk, functional PBE.

Crystal system: orthorhombic
Total DFT energy (no corrections) in eV per atom: -5.80
Total magnetization in μB per formula unit: 0.00
Offset from the most stable computed form in eV/atom: 0.183
Formation enthalpy at 0 K in eV per atom: 0.28

a = 2.985 Å, b = 4.238 Å, c = 7.762 Å
α = 90.00°, β = 90.00°, γ = 90.00°
Space group Imm2 (No. 44)
One atom of each set of equivalent atoms:
Li: 0.000 0.000 0.000 [2 per cell]
Li: 0.000 0.500 0.286 [2 per cell]
Os: 0.000 0.500 0.761 [2 per cell]
Ru: 0.000 0.000 0.529 [2 per cell]

(17)
An optimized crystal structure of Li2OsRu. Source: Alexandria via LeMat-Bulk, functional PBE.

Crystal system: monoclinic
Total DFT energy (no corrections) in eV per atom: -5.93
Total magnetization in μB per formula unit: 0.00
Offset from the most stable computed form in eV/atom: 0.054
Formation enthalpy at 0 K in eV per atom: 0.15

a = 8.598 Å, b = 2.636 Å, c = 4.980 Å
α = 90.00°, β = 95.37°, γ = 90.00°
Space group Cm (No. 8)
One atom of each set of equivalent atoms:
Li: 0.000 0.000 0.000 [2 per cell]
Li: 0.242 0.000 0.798 [2 per cell]
Os: 0.494 0.000 0.488 [2 per cell]
Ru: 0.248 0.500 0.316 [2 per cell]

(18)
An optimized crystal structure of LiOsRu2. Source: Alexandria via LeMat-Bulk, functional PBE.

Crystal system: tetragonal
Total DFT energy (no corrections) in eV per atom: -7.67
Total magnetization in μB per formula unit: 0.00
Offset from the most stable computed form in eV/atom: 0.062
Formation enthalpy at 0 K in eV per atom: 0.25

a = 2.894 Å, b = 2.894 Å, c = 6.245 Å
α = 90.00°, β = 90.00°, γ = 90.00°
Space group P4/mmm (No. 123)
One atom of each set of equivalent atoms:
Li: 0.000 0.000 0.000 [1 per cell]
Os: 0.000 0.000 0.500 [1 per cell]
Ru: 0.500 0.500 0.232 [2 per cell]

(19)
An optimized crystal structure of LiOs2Ru. Source: Alexandria via LeMat-Bulk, functional PBE.

Crystal system: orthorhombic
Total DFT energy (no corrections) in eV per atom: -7.99
Total magnetization in μB per formula unit: 0.38
Formation enthalpy at 0 K in eV per atom: 0.42

a = 2.749 Å, b = 4.524 Å, c = 9.226 Å
α = 90.00°, β = 90.00°, γ = 90.00°
Space group Cmmm (No. 65)
One atom of each set of equivalent atoms:
Li: 0.000 0.000 0.000 [2 per cell]
Os: 0.000 0.500 0.251 [4 per cell]
Ru: 0.000 0.000 0.500 [2 per cell]

(20)
An optimized crystal structure of LiOs2Ru. Source: Alexandria via LeMat-Bulk, functional PBE.

Crystal system: tetragonal
Total DFT energy (no corrections) in eV per atom: -7.96
Total magnetization in μB per formula unit: 0.00
Formation enthalpy at 0 K in eV per atom: 0.46

a = 3.746 Å, b = 3.746 Å, c = 3.883 Å
α = 90.00°, β = 90.00°, γ = 90.00°
Space group P4/mmm (No. 123)
One atom of each set of equivalent atoms:
Li: 0.000 0.000 0.000 [1 per cell]
Os: 0.000 0.500 0.500 [2 per cell]
Ru: 0.500 0.500 0.000 [1 per cell]